! Sm12AlTl4O3 | the Alexandria database | PBE-GGA | relaxed; values from VASP
! Raw formation energy = -18.7 eV/f.u.
! M_tot = 0.0 μB per cell
! Space group = No. 229
! VASP energy = -5.1720 eV per atom
! Calculated volume = 26.272 Å³ per atom
&SYSTEM
  ibrav = 0, nat = 20, ntyp = 4
/
ATOMIC_SPECIES
Sm 150.36 Sm.upf
Al 26.98 Al.upf
Tl 204.38 Tl.upf
O 16.00 O.upf
ATOMIC_POSITIONS angstrom
Sm -1.467 1.038 5.392
Sm 4.299 -3.040 5.266
Sm 1.570 -1.110 1.923
Sm 4.402 3.113 1.797
Sm 4.299 6.080 0.000
Sm 1.570 2.221 0.000
Sm 4.402 0.000 3.595
Sm -1.467 4.151 3.595
Sm 1.467 -1.038 5.392
Sm -4.299 3.040 5.266
Sm 1.467 5.188 1.797
Sm -1.570 1.110 1.923
Al 0.000 0.000 0.000
Tl 1.467 2.075 3.595
Tl -1.467 -2.075 3.595
Tl 4.402 0.000 0.000
Tl -1.467 4.151 0.000
O 2.935 -2.075 3.595
O 2.935 4.151 0.000
O -2.935 2.075 3.595
CELL_PARAMETERS angstrom
8.805 0.000 0.000
-2.935 8.301 0.000
-2.935 -4.151 7.189